# PBE-GGA DyAlZnO4, optimized geometry
data_DyAlZnO4
_chemical_formula_sum 'Dy4 Al4 Zn4 O16'
_cell_length_a 6.047
_cell_length_b 6.487
_cell_length_c 8.751
_cell_angle_alpha 90.00
_cell_angle_beta 90.00
_cell_angle_gamma 90.00
_symmetry_space_group_name_H-M 'I m m a'
_symmetry_Int_Tables_number 74
_symmetry_space_group_name_Hall '-I 2b 2'
loop_
_atom_site_label
_atom_site_type_symbol
_atom_site_fract_x
_atom_site_fract_y
_atom_site_fract_z
Dy1 Dy 0.000 0.000 0.000
Al1 Al 0.250 0.250 0.250
Zn1 Zn 0.000 0.250 0.615
O1 O 0.000 0.041 0.255
O2 O 0.247 0.250 0.028
# Size of the total moment: 0.00 Bohr magnetons per cell
# Volume: 12.26 Å³ per atom
# Total DFT energy (no corrections): -6.79 eV/atom
# Crystal system: orthorhombic